Y2SiPb2 | the Alexandria database | GGA-PBE | optimized geometry; energy above the most stable polymorph in this dataset = 0.520 eV/atom; DOS(E_F) = 6.8 states/eV/f.u.; energy relative to the elements, uncorrected = 0.1877 eV/atom; space group = I4/mmm; raw total energy = -4.966 eV/atom
1.0
-1.0953 5.8457 -1.1056
-3.1831 -1.5256 -4.9127
-5.7125 1.9413 -0.6259
Pb Y Si
2 2 1
Direct
0.3205 0.3205 0.3590 Pb
0.6795 0.6795 0.6410 Pb
0.7500 0.2500 0.5000 Y
0.2500 0.7500 0.5000 Y
0.0000 0.0000 0.0000 Si